1.
Material: CdFe5
Method: DFT, PBE
State: relaxed

a b c (Å): 4.8646 4.8646 4.0001
angles (deg): 90.00 90.00 120.00
Last column: nearest neighbours and their distance in Å.
Space group P6/mmm (No. 191)
Asymmetric unit:
1 Cd 0.0000 0.0000 0.0000  6 Fe 2.81
2 Fe 0.0000 0.5000 0.5000  8 Fe 2.43-2.44
3 Fe 0.3333 0.6667 0.0000  6 Fe 2.44

Energy relative to the elements, eV/atom: 0.30

2.
Material: Ag14TeAu
Method: DFT, PBE
State: relaxed

a b c (Å): 9.6298 5.9995 10.2969
angles (deg): 90.00 90.00 90.00
Last column: nearest neighbours and their distance in Å.
Space group Amm2 (No. 38)
Asymmetric unit:
1 Ag 0.0000 0.0000 0.9997  12 Ag 2.92-3.00
2 Ag 0.0000 0.0000 0.5000  12 Ag 2.89-3.00
3 Ag 0.0000 0.2489 0.2500  12 Ag 2.91-3.01
4 Ag 0.2425 0.0000 0.6655  11 Ag 2.89-3.03, 1 Te 3.01
5 Ag 0.2433 0.2457 0.4192  10 Ag 2.89-3.05, 1 Au 3.01, 1 Te 3.04
6 Ag 0.2482 0.0000 0.1679  11 Ag 2.94-3.00, 1 Au 2.96
7 Ag 0.5000 0.2489 0.5825  2 Te 2.97-2.99, 2 Au 2.97-2.98, 8 Ag 2.99-3.02
8 Te 0.5000 0.0000 0.8319  10 Ag 2.97-3.04, 2 Au 3.00
9 Au 0.5000 0.0000 0.3328  10 Ag 2.96-3.01, 2 Te 3.00

Formation energy without anion corrections, eV/atom: 0.04

3.
Material: TmCu7O12
Method: DFT, PBE
State: relaxed

a b c (Å): 7.3008 7.3008 7.3008
angles (deg): 90.00 90.00 90.00
Last column: nearest neighbours and their distance in Å.
Space group Im-3 (No. 204)
Asymmetric unit:
1 Tm 0.0000 0.0000 0.0000  12 O 2.54
2 Cu 0.0000 0.0000 0.5000  4 O 1.88
3 Cu 0.2500 0.2500 0.2500  6 O 1.96
4 O 0.0000 0.1680 0.3040  3 Cu 1.88-1.96

Formation energy without anion corrections, eV/atom: -0.83

4.
Material: DyAl2Ni4Ge
Method: DFT, PBE
State: relaxed

a b c (Å): 4.0594 4.0594 24.6794
angles (deg): 90.00 90.00 120.00
Last column: nearest neighbours and their distance in Å.
Space group R-3m (No. 166, hexagonal axes)
Asymmetric unit:
1 Dy 0.0000 0.0000 0.0000  6 Ni 2.94, 6 Al 3.23
2 Al 0.0000 0.0000 0.2433  6 Ni 2.38-2.58
3 Ni 0.0000 0.0000 0.1341  3 Ge 2.48, 4 Al 2.58-2.70
4 Ni 0.0000 0.0000 0.4055  1 Ge 2.33, 3 Al 2.38
5 Ge 0.0000 0.0000 0.5000  8 Ni 2.33-2.48

Energy relative to the elements, eV/atom: -0.48

5.
Material: UCuHgTe3
Method: DFT, PBE
State: relaxed

a b c (Å): 10.7200 4.1321 10.7790
angles (deg): 90.00 117.22 90.00
Last column: nearest neighbours and their distance in Å.
Space group P2_1/m (No. 11)
Asymmetric unit:
1 U 0.1823 0.2500 0.1668  6 Te 2.95-3.06
2 Cu 0.4167 0.7500 0.4070  4 Te 2.64-2.65, 2 Cu 2.86
3 Hg 0.2891 0.7500 0.7698  7 Te 3.72-3.91, 2 Hg 4.13
4 Te 0.0329 0.2500 0.8478  3 U 3.05-3.06
5 Te 0.3057 0.2500 0.4740  3 Cu 2.64-2.65, 1 U 2.95
6 Te 0.3714 0.7500 0.1447  1 Cu 2.64

Formation energy without anion corrections, eV/atom: -0.33

6.
Material: La3Sc7Ir4
Method: DFT, PBE
State: relaxed

a b c (Å): 16.9799 4.4805 10.6755
angles (deg): 90.00 127.06 90.00
Last column: nearest neighbours and their distance in Å.
Space group C2/m (No. 12)
Asymmetric unit:
1 La 0.0000 0.0000 0.0000  6 Ir 3.12-3.43
2 La 0.1916 0.5000 0.6909  2 Ir 3.15, 9 Sc 3.26-3.51
3 Sc 0.0000 0.0000 0.5000  2 Ir 2.97, 4 Sc 3.24
4 Sc 0.0068 0.5000 0.2876  3 Ir 2.74-2.78, 1 Sc 3.05
5 Sc 0.1664 0.0000 0.4230  3 Ir 2.70-2.72
6 Sc 0.1955 0.5000 0.0321  4 Ir 2.76-2.95, 1 Sc 3.05
7 Ir 0.1079 0.0000 0.8452  6 Sc 2.74-2.97
8 Ir 0.1674 0.5000 0.2790  5 Sc 2.70-2.95

Energy relative to the elements, eV/atom: -0.59

7.
Material: Pm2Tl2Zn
Method: DFT, PBE
State: relaxed

a b c (Å): 11.4448 4.7349 11.2154
angles (deg): 90.00 116.88 90.00
Last column: nearest neighbours and their distance in Å.
Space group C2/m (No. 12)
Asymmetric unit:
1 Pm 0.0192 0.0000 0.3363  7 Tl 3.24-3.55, 4 Zn 3.35-3.58
2 Pm 0.1796 0.0000 0.0986  6 Tl 3.21-3.47, 2 Zn 3.37
3 Tl 0.0308 0.5000 0.8788  1 Zn 2.78, 1 Tl 3.10
4 Tl 0.1508 0.5000 0.5641  2 Zn 2.75, 1 Tl 3.08
5 Zn 0.2223 0.5000 0.3286  3 Tl 2.75-2.78

Energy relative to the elements, eV/atom: -0.33

8.
Material: DyScPb
Method: DFT, PBE
State: relaxed

a b c (Å): 5.2434 5.2434 6.5067
angles (deg): 90.00 90.00 120.00
Last column: nearest neighbours and their distance in Å.
Space group P6_3/mmc (No. 194)
Asymmetric unit:
1 Dy 0.0000 0.0000 0.0000  2 Dy 3.25, 6 Pb 3.44, 6 Sc 3.44
2 Sc 0.3333 0.6667 0.2500  5 Pb 3.03-3.25
3 Pb 0.3333 0.6667 0.7500  5 Sc 3.03-3.25

Energy relative to the elements, eV/atom: -0.39

Computed values of E (unit: eV for the cell shown) for the preceding records, in sequence: -41.446, -91.477, -218.612, -131.028, -54.151, -205.674, -68.574, -31.612.